Density functional theory data (PBE) for an optimized crystal structure of CaLaRu3.

a = 4.882 Å, b = 4.882 Å, c = 4.882 Å
α = 90.00°, β = 90.00°, γ = 90.00°
Space group Pm-3m (No. 221)
Unique sites:
Ca  0.000  0.000  0.000 [1 per cell]
La  0.500  0.500  0.500 [1 per cell]
Ru  0.000  0.500  0.500 [3 per cell]

Summary:
mass density: 6.9 g cm⁻³
offset from the most stable computed form: 0.0 meV/atom
ΔE_f: 6.0 eV per formula unit



Density functional theory data (PBE) for an optimized crystal structure of RbCo2RhCl8.

a = 6.1524 Å, b = 6.1524 Å, c = 29.4973 Å
α = 90.00°, β = 90.00°, γ = 120.00°
Space group R-3 (No. 148, hexagonal axes)
Unique sites:
Rb  0.0000  0.0000  0.0000 [3 per cell]
Co  0.0000  0.0000  0.2358 [6 per cell]
Rh  0.0000  0.0000  0.5000 [3 per cell]
Cl  0.0000  0.0000  0.3103 [6 per cell]
Cl  0.0089  0.6911  0.5477 [18 per cell]

Summary:
mass density: 3.0 g cm⁻³



Density functional theory data (PBE) for an optimized crystal structure of NbAlTc2Sb.

a = 4.824 Å, b = 4.824 Å, c = 5.004 Å
α = 90.00°, β = 90.00°, γ = 90.00°
Space group P4/mmm (No. 123)
Unique sites:
Nb  0.000  0.000  0.000 [1 per cell]
Al  0.500  0.500  0.000 [1 per cell]
Tc  0.000  0.500  0.500 [2 per cell]
Sb  0.000  0.000  0.500 [1 per cell]

Summary:
mass density: 6.2 g cm⁻³



Density functional theory data (PBE) for an optimized crystal structure of LiCr2Os.

a = 2.545 Å, b = 4.012 Å, c = 4.871 Å
α = 90.00°, β = 90.00°, γ = 90.00°
Space group Pmmm (No. 47)
Unique sites:
Li  0.000  0.000  0.000 [1 per cell]
Cr  0.500  0.500  0.248 [2 per cell]
Os  0.000  0.000  0.500 [1 per cell]

Summary:
mass density: 10.1 g cm⁻³
ΔE_f: 1.4 eV per formula unit



Density functional theory data (PBE) for an optimized crystal structure of LiTcAu2.

a = 2.681 Å, b = 4.419 Å, c = 5.579 Å
α = 90.00°, β = 90.00°, γ = 90.00°
Space group Pmm2 (No. 25)
Unique sites:
Li  0.000  0.000  0.000 [1 per cell]
Tc  0.500  0.500  0.310 [1 per cell]
Au  0.000  0.000  0.484 [1 per cell]
Au  0.500  0.500  0.820 [1 per cell]

Summary:
mass density: 12.5 g cm⁻³
offset from the most stable computed form: 189.7 meV/atom
ΔE_f: 0.6 eV per formula unit



Density functional theory data (PBE) for an optimized crystal structure of KCdNiBi2.

a = 5.101 Å, b = 5.101 Å, c = 6.138 Å
α = 90.00°, β = 90.00°, γ = 90.00°
Space group P4/mmm (No. 123)
Unique sites:
K  0.000  0.000  0.000 [1 per cell]
Cd  0.500  0.500  0.000 [1 per cell]
Ni  0.000  0.000  0.500 [1 per cell]
Bi  0.000  0.500  0.500 [2 per cell]

Summary:
mass density: 6.5 g cm⁻³
ΔE_f: 0.8 eV per formula unit



Density functional theory data (PBE) for an optimized crystal structure of CaTlCl2.

a = 3.923 Å, b = 3.923 Å, c = 8.253 Å
α = 90.00°, β = 90.00°, γ = 90.00°
Space group P4mm (No. 99)
Unique sites:
Ca  0.000  0.000  0.000 [1 per cell]
Tl  0.500  0.500  0.575 [1 per cell]
Cl  0.000  0.000  0.304 [1 per cell]
Cl  0.500  0.500  0.976 [1 per cell]

Summary:
mass density: 4.1 g cm⁻³
offset from the most stable computed form: 264.3 meV/atom



Density functional theory data (PBE) for an optimized crystal structure of Cs3Sn2Br4Cl3.

a = 5.635 Å, b = 29.468 Å, c = 5.907 Å
α = 90.00°, β = 90.00°, γ = 90.00°
Space group Imm2 (No. 44)
Unique sites:
Cs  0.000  0.000  0.000 [2 per cell]
Cs  0.000  0.180  0.933 [4 per cell]
Sn  0.000  0.403  0.937 [4 per cell]
Br  0.000  0.303  0.938 [4 per cell]
Br  0.000  0.407  0.437 [4 per cell]
Cl  0.000  0.097  0.429 [4 per cell]
Cl  0.000  0.500  0.925 [2 per cell]

Summary:
mass density: 3.6 g cm⁻³



Density functional theory data (PBE) for an optimized crystal structure of Tb4Y8Th3.

a = 13.486 Å, b = 12.861 Å, c = 6.667 Å
α = 90.00°, β = 119.05°, γ = 90.00°
Space group C2/m (No. 12)
Unique sites:
Tb  0.000  0.000  0.000 [2 per cell]
Tb  0.000  0.000  0.500 [2 per cell]
Tb  0.250  0.250  0.000 [4 per cell]
Y  0.000  0.249  0.000 [4 per cell]
Y  0.000  0.356  0.500 [4 per cell]
Y  0.229  0.500  0.526 [4 per cell]
Y  0.249  0.500  0.031 [4 per cell]
Th  0.000  0.500  0.000 [2 per cell]
Th  0.250  0.250  0.500 [4 per cell]

Summary:
mass density: 6.7 g cm⁻³
ΔE_f: 6.6 eV per formula unit



Density functional theory data (PBE) for an optimized crystal structure of MgBe2Al.

a = 13.649 Å, b = 3.765 Å, c = 4.355 Å
α = 90.00°, β = 97.40°, γ = 90.00°
Space group C2/m (No. 12)
Unique sites:
Mg  0.099  0.000  0.301 [4 per cell]
Be  0.223  0.500  0.608 [4 per cell]
Be  0.247  0.000  0.874 [4 per cell]
Al  0.065  0.500  0.785 [4 per cell]

Summary:
mass density: 2.1 g cm⁻³
offset from the most stable computed form: 71.8 meV/atom
ΔE_f: 0.5 eV per formula unit



Density functional theory data (PBE) for an optimized crystal structure of BaY2Sb.

a = 5.088 Å, b = 5.088 Å, c = 4.907 Å
α = 90.00°, β = 90.00°, γ = 90.00°
Space group P4/mmm (No. 123)
Unique sites:
Ba  0.000  0.000  0.000 [1 per cell]
Y  0.000  0.500  0.500 [2 per cell]
Sb  0.500  0.500  0.000 [1 per cell]

Summary:
mass density: 5.7 g cm⁻³



Density functional theory data (PBE) for an optimized crystal structure of Ce11In9Au4.

a = 15.416 Å, b = 22.163 Å, c = 3.741 Å
α = 90.00°, β = 90.00°, γ = 90.00°
Space group Cmmm (No. 65)
Unique sites:
Ce  0.000  0.000  0.000 [2 per cell]
Ce  0.000  0.149  0.000 [4 per cell]
Ce  0.000  0.369  0.000 [4 per cell]
Ce  0.194  0.500  0.000 [4 per cell]
Ce  0.241  0.187  0.000 [8 per cell]
In  0.000  0.500  0.500 [2 per cell]
In  0.098  0.259  0.500 [8 per cell]
In  0.150  0.073  0.500 [8 per cell]
Au  0.152  0.396  0.500 [8 per cell]

Summary:
mass density: 8.7 g cm⁻³
ΔE_f: -11.8 eV per formula unit



Density functional theory data (PBE) for an optimized crystal structure of CeSm3Bi3.

a = 9.4068 Å, b = 9.4068 Å, c = 19.1010 Å
α = 90.00°, β = 90.00°, γ = 120.00°
Space group R-3 (No. 148, hexagonal axes)
Unique sites:
Ce  0.0000  0.0000  0.1669 [6 per cell]
Sm  0.0025  0.7382  0.5848 [18 per cell]
Bi  0.0023  0.6178  0.4183 [18 per cell]

Summary:
mass density: 8.3 g cm⁻³
ΔE_f: -4.6 eV per formula unit



Density functional theory data (PBE) for an optimized crystal structure of BaNp2GaO8.

a = 5.137 Å, b = 5.137 Å, c = 7.087 Å
α = 88.58°, β = 88.59°, γ = 83.74°
Space group P-1 (No. 2)
Unique sites:
Ba  0.000  0.000  0.000 [1 per cell]
Np  0.496  0.496  0.264 [2 per cell]
Ga  0.000  0.000  0.500 [1 per cell]
O  0.200  0.792  0.696 [2 per cell]
O  0.207  0.799  0.305 [2 per cell]
O  0.323  0.322  0.496 [2 per cell]
O  0.342  0.340  0.976 [2 per cell]

Summary:
mass density: 7.2 g cm⁻³



Density functional theory data (PBE) for an optimized crystal structure of AsPSCl2.

a = 4.682 Å, b = 4.682 Å, c = 4.929 Å
α = 90.00°, β = 90.00°, γ = 90.00°
Space group P4/mmm (No. 123)
Unique sites:
As  0.000  0.000  0.000 [1 per cell]
P  0.500  0.500  0.500 [1 per cell]
S  0.500  0.500  0.000 [1 per cell]
Cl  0.000  0.500  0.500 [2 per cell]

Summary:
mass density: 3.2 g cm⁻³
offset from the most stable computed form: 0.0 meV/atom



Density functional theory data (PBE) for an optimized crystal structure of SrPu2F11.

a = 8.650 Å, b = 10.340 Å, c = 11.499 Å
α = 90.00°, β = 90.00°, γ = 90.00°
Space group Ibam (No. 72)
Unique sites:
Sr  0.000  0.000  0.250 [4 per cell]
Pu  0.154  0.323  0.000 [8 per cell]
F  0.000  0.500  0.000 [4 per cell]
F  0.085  0.196  0.134 [16 per cell]
F  0.142  0.287  0.500 [8 per cell]
F  0.232  0.067  0.372 [16 per cell]

Summary:
mass density: 5.1 g cm⁻³



Density functional theory data (PBE) for an optimized crystal structure of Lu2CdAu.

a = 7.187 Å, b = 7.187 Å, c = 7.187 Å
α = 90.00°, β = 90.00°, γ = 90.00°
Space group Fm-3m (No. 225)
Unique sites:
Lu  0.250  0.250  0.250 [8 per cell]
Cd  0.000  0.000  0.000 [4 per cell]
Au  0.000  0.000  0.500 [4 per cell]

Summary:
mass density: 11.8 g cm⁻³
offset from the most stable computed form: 27.9 meV/atom
ΔE_f: -2.3 eV per formula unit



Density functional theory data (PBE) for an optimized crystal structure of BrCl3.

a = 3.623 Å, b = 3.623 Å, c = 6.977 Å
α = 90.00°, β = 90.00°, γ = 90.00°
Space group P4/mmm (No. 123)
Unique sites:
Br  0.000  0.000  0.000 [1 per cell]
Cl  0.000  0.000  0.500 [1 per cell]
Cl  0.500  0.500  0.238 [2 per cell]

Summary:
mass density: 3.4 g cm⁻³



Density functional theory data (PBE) for an optimized crystal structure of Tb5Al4Hg.

a = 3.605 Å, b = 3.605 Å, c = 18.567 Å
α = 90.00°, β = 90.00°, γ = 90.00°
Space group P4/mmm (No. 123)
Unique sites:
Tb  0.000  0.000  0.000 [1 per cell]
Tb  0.000  0.000  0.195 [2 per cell]
Tb  0.000  0.000  0.392 [2 per cell]
Al  0.500  0.500  0.097 [2 per cell]
Al  0.500  0.500  0.294 [2 per cell]
Hg  0.500  0.500  0.500 [1 per cell]

Summary:
mass density: 7.6 g cm⁻³
ΔE_f: -4.1 eV per formula unit



Density functional theory data (PBE) for an optimized crystal structure of Tb4SmTm.

a = 5.024 Å, b = 6.165 Å, c = 7.119 Å
α = 106.80°, β = 90.02°, γ = 113.95°
Space group P-1 (No. 2)
Unique sites:
Tb  0.166  0.332  0.332 [2 per cell]
Tb  0.167  0.335  0.835 [2 per cell]
Sm  0.500  0.000  0.500 [1 per cell]
Tm  0.500  0.000  0.000 [1 per cell]

Summary:
mass density: 8.3 g cm⁻³
offset from the most stable computed form: 0.0 meV/atom
ΔE_f: 0.1 eV per formula unit



Density functional theory data (PBE) for an optimized crystal structure of Sm2NiOs3.

a = 9.175 Å, b = 5.284 Å, c = 5.421 Å
α = 90.00°, β = 124.34°, γ = 90.00°
Space group C2/m (No. 12)
Unique sites:
Sm  0.123  0.000  0.369 [4 per cell]
Ni  0.000  0.500  0.500 [2 per cell]
Os  0.000  0.500  0.000 [2 per cell]
Os  0.250  0.250  0.000 [4 per cell]

Summary:
mass density: 14.2 g cm⁻³
ΔE_f: -1.5 eV per formula unit



Density functional theory data (PBE) for an optimized crystal structure of KPaSb2Pt2.

a = 4.4442 Å, b = 4.4442 Å, c = 9.6166 Å
α = 90.00°, β = 90.00°, γ = 120.00°
Space group P-3m1 (No. 164)
Unique sites:
K  0.0000  0.0000  0.0000 [1 per cell]
Pa  0.0000  0.0000  0.5000 [1 per cell]
Sb  0.3333  0.6667  0.7370 [2 per cell]
Pt  0.3333  0.6667  0.3373 [2 per cell]

Summary:
mass density: 9.1 g cm⁻³



Density functional theory data (PBE) for an optimized crystal structure of SrLaZn4.

a = 3.908 Å, b = 4.607 Å, c = 8.041 Å
α = 90.00°, β = 90.00°, γ = 90.00°
Space group Pmmm (No. 47)
Unique sites:
Sr  0.000  0.000  0.000 [1 per cell]
La  0.000  0.500  0.500 [1 per cell]
Zn  0.500  0.000  0.336 [2 per cell]
Zn  0.500  0.500  0.170 [2 per cell]

Summary:
mass density: 5.6 g cm⁻³
offset from the most stable computed form: 0.0 meV/atom
ΔE_f: -1.7 eV per formula unit



Asked for total DFT energy (no corrections) across the records above, the calculation gives -5.746 -3.914 -6.105 -7.738 -4.568 -2.954 -3.368 -3.313 -5.727 -3.077 -5.029 -4.784 -5.189 -8.404 -3.136 -7.087 -3.885 -1.002 -4.255 -4.601 -8.403 -5.918 -2.234 eV per atom in order.
Asked for magnetization across the records above, the calculation gives 0.0 18.0 1.4 0.0 0.7 0.0 0.0 0.0 0.0 0.0 0.9 0.7 8.6 3.0 1.7 28.0 0.0 1.4 0.0 0.0 0.0 0.0 0.0 Bohr magnetons per cell in order.